PrPaB, optimized geometry, DFT PBE; total DFT energy (no corrections) = -6.632 eV per atom
1.0
0.000 3.200 3.200
3.200 0.000 3.200
3.200 3.200 0.000
B Pa Pr
1 1 1
Direct
0.000 0.000 0.000
0.250 0.250 0.250
0.750 0.750 0.750